Density functional theory data (PBE) for crystalline Ac2HgCl8 at its relaxed geometry.

Unit cell a=4.420 b=8.030 c=9.629 alpha=99.07 beta=94.41 gamma=90.86
Fractional coordinates of all 11 atoms:
Ac (0.233, 0.222, 0.384)
Ac (0.767, 0.778, 0.616)
Hg (0.500, 0.500, 0.000)
Cl (0.145, 0.310, 0.059)
Cl (0.235, 0.844, 0.415)
Cl (0.274, 0.514, 0.641)
Cl (0.298, 0.938, 0.787)
Cl (0.702, 0.062, 0.213)
Cl (0.726, 0.486, 0.359)
Cl (0.765, 0.156, 0.585)
Cl (0.855, 0.690, 0.941)

Its symmetry is No. 2. Its crystal system is triclinic.

=====

Density functional theory data (PBE) for crystalline AcHgCl6 at its relaxed geometry.

Unit cell a=6.175 b=6.416 c=7.393 alpha=91.25 beta=113.90 gamma=110.95
Fractional coordinates of all 8 atoms:
Ac (0.000, 0.000, 0.000)
Hg (0.000, 0.500, 0.500)
Cl (0.182, 0.443, 0.258)
Cl (0.186, 0.245, 0.724)
Cl (0.466, 0.899, 0.749)
Cl (0.534, 0.101, 0.251)
Cl (0.814, 0.755, 0.276)
Cl (0.818, 0.557, 0.742)

Its symmetry is No. 2. Its crystal system is triclinic.

=====

Density functional theory data (PBE) for crystalline Ac8Hg4Ir3Cl at its relaxed geometry.

Unit cell a=9.594 b=9.594 c=9.594 alpha=54.61 beta=54.61 gamma=54.61
Fractional coordinates of all 16 atoms:
Ac (0.215, 0.748, 0.748)
Ac (0.234, 0.234, 0.234)
Ac (0.252, 0.252, 0.785)
Ac (0.252, 0.785, 0.252)
Ac (0.748, 0.215, 0.748)
Ac (0.748, 0.748, 0.215)
Ac (0.766, 0.766, 0.766)
Ac (0.785, 0.252, 0.252)
Hg (0.000, 0.000, 0.000)
Hg (0.000, 0.500, 0.500)
Hg (0.500, 0.000, 0.500)
Hg (0.500, 0.500, 0.000)
Ir (0.000, 0.000, 0.500)
Ir (0.000, 0.500, 0.000)
Ir (0.500, 0.000, 0.000)
Cl (0.500, 0.500, 0.500)

Its symmetry is No. 166. Its crystal system is trigonal.

=====

Density functional theory data (PBE) for crystalline Ac8Hg3Ir3Cl at its relaxed geometry.

Unit cell a=9.247 b=9.247 c=9.247 alpha=57.63 beta=57.63 gamma=57.63
Fractional coordinates of all 15 atoms:
Ac (0.216, 0.753, 0.753)
Ac (0.235, 0.235, 0.235)
Ac (0.247, 0.247, 0.784)
Ac (0.247, 0.784, 0.247)
Ac (0.753, 0.216, 0.753)
Ac (0.753, 0.753, 0.216)
Ac (0.765, 0.765, 0.765)
Ac (0.784, 0.247, 0.247)
Hg (0.000, 0.500, 0.500)
Hg (0.500, 0.000, 0.500)
Hg (0.500, 0.500, 0.000)
Ir (0.000, 0.000, 0.500)
Ir (0.000, 0.500, 0.000)
Ir (0.500, 0.000, 0.000)
Cl (0.500, 0.500, 0.500)

Its symmetry is No. 166. Its crystal system is trigonal.

=====

For reference, formation energy without anion corrections by record: -1.94, -1.25, -0.71, -0.67 eV/atom.